(1)
VASP calculation (SCAN) on Mg2PdCl at its PBEsol-relaxed geometry.

Values from the calculation:
magnetic moment = 0.000 μB/atom
energy relative to the elements, uncorrected = -415 meV/atom

```
Mg2PdCl
1.0
0.000 3.322 3.322
3.322 0.000 3.322
3.322 3.322 0.000
Mg Pd Cl
2 1 1
Cartesian
1.661 1.661 1.661
4.983 4.983 4.983
0.000 0.000 0.000
3.322 3.322 3.322
```


(2)
VASP calculation (SCAN) on Na2ZnF at its PBEsol-relaxed geometry.

Values from the calculation:
magnetic moment = 0.000 μB/atom
energy relative to the elements, uncorrected = -1155 meV/atom

```
Na2ZnF
1.0
-3.387 3.387 3.911
3.387 -3.387 3.911
3.387 3.387 -3.911
Na Zn F
4 2 2
Cartesian
1.693 0.924 -0.978
2.463 -1.693 4.888
1.693 2.463 2.933
0.924 5.080 0.978
3.387 0.000 1.955
0.000 0.000 3.911
0.000 0.000 0.000
0.000 3.387 1.955
```


(3)
VASP calculation (SCAN) on TiMn2VAs4 at its PBEsol-relaxed geometry.

Values from the calculation:
magnetic moment = 1.081 μB/atom
DFT formation energy = -0.65 eV/atom

```
TiMn2VAs4
1.0
5.753 0.000 0.000
0.000 3.536 0.000
-0.013 0.000 6.263
Ti Mn V As
1 2 1 4
Cartesian
0.000 0.000 0.000
-0.006 1.768 3.132
2.877 0.000 0.000
2.870 1.768 3.132
1.439 0.000 4.174
1.491 1.768 1.086
4.249 1.768 5.177
4.302 0.000 2.089
```